[1]
This record from the Alexandria database describes an optimized crystal structure of HgAsBr2. The functional is PBE.

The structure belongs to space group Cmmm (No. 65); the cell edges are 3.761, 7.569 and 10.934 Å and the angles 90.00°, 90.00° and 90.00°. The inequivalent atoms are Hg at (0.000, 0.000, 0.000), As at (0.000, 0.000, 0.500) and Br at (0.000, 0.500, 0.329).

The value obtained for the energy relative to the elements, uncorrected is -0.94 kcal/mol of atoms. As for the relative energy among the computed polymorphs: 85 meV per atom. As for the density of states at the Fermi level: 0.305 states/eV/atom.

***

[2]
This record from the Alexandria database describes an optimized crystal structure of ZrInB2O. The functional is PBE.

The structure belongs to space group P4/mmm (No. 123); the cell edges are 3.996, 3.996 and 5.884 Å and the angles 90.00°, 90.00° and 90.00°. The inequivalent atoms are Zr at (0.000, 0.000, 0.000), In at (0.000, 0.000, 0.500), B at (0.000, 0.500, 0.500) and O at (0.500, 0.500, 0.000).

The value obtained for the energy relative to the elements, uncorrected is 38.02 kcal/mol of atoms. As for the density of states at the Fermi level: 0.999 states/eV/atom.

***

[3]
This record from the Alexandria database describes an optimized crystal structure of NaAcTm. The functional is PBE.

The structure belongs to space group P-1 (No. 2); the cell edges are 3.708, 6.728 and 9.109 Å and the angles 86.62°, 78.46° and 80.10°. The inequivalent atoms are Na at (0.169, 0.011, 0.156), Ac at (0.351, 0.492, 0.804) and Tm at (0.145, 0.237, 0.501).

As for the energy of formation from the pure elements: 214 meV/atom. As for the relative energy among the computed polymorphs: 39 meV per atom. As for the density of states at the Fermi level: 1.323 states/eV/atom.

***

[4]
This record from the Alexandria database describes an optimized crystal structure of BaNiTe. The functional is PBE.

The structure belongs to space group P2_1/m (No. 11); the cell edges are 4.706, 5.397 and 7.104 Å and the angles 90.00°, 90.11° and 90.00°. The inequivalent atoms are Ba at (0.001, 0.250, 0.258), Ni at (0.500, 0.000, 0.000) and Te at (0.499, 0.250, 0.709).

The value obtained for the energy relative to the elements, uncorrected is -18.86 kcal/mol of atoms. As for the density of states at the Fermi level: 0.152 states/eV/atom.

***

[5]
This record from the Alexandria database describes an optimized crystal structure of Hf2NbBi4. The functional is PBE.

The structure belongs to space group C2/m (No. 12); the cell edges are 15.130, 3.995 and 7.396 Å and the angles 90.00°, 119.24° and 90.00°. The inequivalent atoms are Hf at (0.240, 0.000, 0.216), Nb at (0.000, 0.000, 0.000), Bi at (0.106, 0.000, 0.759) and Bi at (0.119, 0.500, 0.315).

As for the energy of formation from the pure elements: 48 meV/atom. As for the density of states at the Fermi level: 0.493 states/eV/atom.

***

[6]
This record from the Alexandria database describes an optimized crystal structure of HfI3N. The functional is PBE.

The structure belongs to space group Pm-3m (No. 221); the cell edges are 4.956, 4.956 and 4.956 Å and the angles 90.00°, 90.00° and 90.00°. The inequivalent atoms are Hf at (0.000, 0.000, 0.000), I at (0.000, 0.500, 0.500) and N at (0.500, 0.500, 0.500).

The value obtained for the energy relative to the elements, uncorrected is 26.07 kcal/mol of atoms. As for the relative energy among the computed polymorphs: 550 meV per atom. As for the density of states at the Fermi level: 1.088 states/eV/atom.

***

[7]
This record from the Alexandria database describes an optimized crystal structure of Mg2FePt. The functional is PBE.

The structure belongs to space group Pmm2 (No. 25); the cell edges are 2.878, 4.562 and 4.825 Å and the angles 90.00°, 90.00° and 90.00°. The inequivalent atoms are Mg at (0.000, 0.000, 0.000), Mg at (0.000, 0.500, 0.360), Fe at (0.500, 0.000, 0.519) and Pt at (0.500, 0.500, 0.844).

As for the energy of formation from the pure elements: -238 meV/atom. As for the density of states at the Fermi level: 0.879 states/eV/atom.

***

[8]
This record from the Alexandria database describes an optimized crystal structure of PuTlCl6. The functional is PBE.

The structure belongs to space group R-3 (No. 148, hexagonal axes); the cell edges are 7.0291, 7.0291 and 19.4643 Å and the angles 90.00°, 90.00° and 120.00°. The inequivalent atoms are Pu at (0.0000, 0.0000, 0.0000), Tl at (0.0000, 0.0000, 0.5000) and Cl at (0.0210, 0.6250, 0.5917).

The value obtained for the energy relative to the elements, uncorrected is -30.77 kcal/mol of atoms. As for the relative energy among the computed polymorphs: 0 meV per atom. As for the density of states at the Fermi level: 1.343 states/eV/atom.